Record 1
Here is a relaxed CrH2Pd crystal from Alexandria via LeMat-Bulk. Energies are from PBE.

The calculation puts the uncorrected energy at -4.6925 eV/atom. The magnetization comes out at 0.00 Bohr magnetons per cell.

The structure belongs to space group Fm-3m (No. 225); the cell edges are 5.1566, 5.1566 and 5.1566 Å and the angles 90.00°, 90.00° and 90.00°. The asymmetric unit holds Cr at (0.0000, 0.0000, 0.0000), H at (0.2500, 0.2500, 0.2500) and Pd at (0.0000, 0.0000, 0.5000).

=====

Record 2
Here is a relaxed CrH2Pd2 crystal from Alexandria via LeMat-Bulk. Energies are from PBE.

The calculation puts the uncorrected energy at -5.2840 eV/atom. The magnetization comes out at 7.34 Bohr magnetons per cell.

The structure belongs to space group P4/mbm (No. 127); the cell edges are 5.4875, 5.4875 and 3.6614 Å and the angles 90.00°, 90.00° and 90.00°. The asymmetric unit holds Cr at (0.0000, 0.0000, 0.0000), H at (0.1806, 0.3194, 0.0000) and Pd at (0.1802, 0.3198, 0.5000).

=====

Record 3
Here is a relaxed CrH2Pd8 crystal from Alexandria via LeMat-Bulk. Energies are from PBE.

The calculation puts the uncorrected energy at -5.1395 eV/atom. The magnetization comes out at 5.41 Bohr magnetons per cell.

The structure belongs to space group C2/m (No. 12); the cell edges are 12.4530, 8.6386 and 2.9058 Å and the angles 90.00°, 90.54° and 90.00°. The asymmetric unit holds Cr at (0.0000, 0.0000, 0.0000), H at (0.2236, 0.5000, 0.7375), Pd at (0.0888, 0.5000, 0.7612), Pd at (0.1014, 0.2326, 0.2747) and Pd at (0.2020, 0.0000, 0.7616).

=====

Record 4
Here is a relaxed CrHPd2 crystal from Alexandria via LeMat-Bulk. Energies are from PBE.

The calculation puts the uncorrected energy at -5.4122 eV/atom. The magnetization comes out at 13.85 Bohr magnetons per cell.

The structure belongs to space group Fm-3m (No. 225); the cell edges are 5.9130, 5.9130 and 5.9130 Å and the angles 90.00°, 90.00° and 90.00°. The asymmetric unit holds Cr at (0.0000, 0.0000, 0.0000), H at (0.0000, 0.0000, 0.5000) and Pd at (0.2500, 0.2500, 0.2500).

=====

Record 5
Here is a relaxed Cr2HPdPt crystal from Alexandria via LeMat-Bulk. Energies are from PBE.

The calculation puts the uncorrected energy at -6.7378 eV/atom. The magnetization comes out at 2.72 Bohr magnetons per cell.

The structure belongs to space group P4/mmm (No. 123); the cell edges are 3.8179, 3.8179 and 3.9111 Å and the angles 90.00°, 90.00° and 90.00°. The asymmetric unit holds Cr at (0.0000, 0.5000, 0.0000), H at (0.0000, 0.0000, 0.0000), Pd at (0.0000, 0.0000, 0.5000) and Pt at (0.5000, 0.5000, 0.5000).

=====

Record 6
Here is a relaxed Cr2HPdPt crystal from Alexandria via LeMat-Bulk. Energies are from PBE.

The calculation puts the uncorrected energy at -6.7034 eV/atom. The magnetization comes out at 3.05 Bohr magnetons per cell.

The structure belongs to space group P4/mmm (No. 123); the cell edges are 3.8380, 3.8380 and 3.8985 Å and the angles 90.00°, 90.00° and 90.00°. The asymmetric unit holds Cr at (0.0000, 0.5000, 0.0000), H at (0.0000, 0.0000, 0.0000), Pd at (0.5000, 0.5000, 0.5000) and Pt at (0.0000, 0.0000, 0.5000).

=====

Record 7
Here is a relaxed CrHPdRh2 crystal from Alexandria via LeMat-Bulk. Energies are from PBE.

The calculation puts the uncorrected energy at -6.6118 eV/atom. The magnetization comes out at 2.12 Bohr magnetons per cell.

The structure belongs to space group P4/mmm (No. 123); the cell edges are 3.8832, 3.8832 and 3.9154 Å and the angles 90.00°, 90.00° and 90.00°. The asymmetric unit holds Cr at (0.0000, 0.0000, 0.0000), H at (0.0000, 0.0000, 0.5000), Pd at (0.5000, 0.5000, 0.0000) and Rh at (0.0000, 0.5000, 0.5000).

=====

Record 8
Here is a relaxed CrHPdRh2 crystal from Alexandria via LeMat-Bulk. Energies are from PBE.

The calculation puts the uncorrected energy at -6.5985 eV/atom. The magnetization comes out at 1.97 Bohr magnetons per cell.

The structure belongs to space group P4/mmm (No. 123); the cell edges are 3.9082, 3.9082 and 3.9067 Å and the angles 90.00°, 90.00° and 90.00°. The asymmetric unit holds Cr at (0.0000, 0.0000, 0.0000), H at (0.5000, 0.5000, 0.5000), Pd at (0.5000, 0.5000, 0.0000) and Rh at (0.0000, 0.5000, 0.5000).

=====

Record 9
Here is a relaxed CrHPd2Rh crystal from Alexandria via LeMat-Bulk. Energies are from PBE.

The calculation puts the uncorrected energy at -6.1312 eV/atom. The magnetization comes out at 2.41 Bohr magnetons per cell.

The structure belongs to space group P4/mmm (No. 123); the cell edges are 3.8884, 3.8884 and 4.0267 Å and the angles 90.00°, 90.00° and 90.00°. The asymmetric unit holds Cr at (0.0000, 0.0000, 0.0000), H at (0.0000, 0.0000, 0.5000), Pd at (0.0000, 0.5000, 0.5000) and Rh at (0.5000, 0.5000, 0.0000).

=====

Record 10
Here is a relaxed CrHPd2Rh crystal from Alexandria via LeMat-Bulk. Energies are from PBE.

The calculation puts the uncorrected energy at -6.1811 eV/atom. The magnetization comes out at 2.42 Bohr magnetons per cell.

The structure belongs to space group P4/mmm (No. 123); the cell edges are 3.9507, 3.9507 and 3.9244 Å and the angles 90.00°, 90.00° and 90.00°. The asymmetric unit holds Cr at (0.0000, 0.0000, 0.0000), H at (0.5000, 0.5000, 0.5000), Pd at (0.0000, 0.5000, 0.5000) and Rh at (0.5000, 0.5000, 0.0000).

=====

Record 11
Here is a relaxed CrHPdRu2 crystal from Alexandria via LeMat-Bulk. Energies are from PBE.

The calculation puts the uncorrected energy at -7.2491 eV/atom. The magnetization comes out at 1.25 Bohr magnetons per cell.

The structure belongs to space group P4/mmm (No. 123); the cell edges are 3.8618, 3.8618 and 3.8746 Å and the angles 90.00°, 90.00° and 90.00°. The asymmetric unit holds Cr at (0.0000, 0.0000, 0.0000), H at (0.0000, 0.0000, 0.5000), Pd at (0.5000, 0.5000, 0.0000) and Ru at (0.0000, 0.5000, 0.5000).

=====

Record 12
Here is a relaxed CrSbHPd2 crystal from Alexandria via LeMat-Bulk. Energies are from PBE.

The calculation puts the uncorrected energy at -5.6275 eV/atom. The magnetization comes out at 3.01 Bohr magnetons per cell.

The structure belongs to space group P4/mmm (No. 123); the cell edges are 4.0483, 4.0483 and 4.1982 Å and the angles 90.00°, 90.00° and 90.00°. The asymmetric unit holds Cr at (0.0000, 0.0000, 0.0000), Sb at (0.5000, 0.5000, 0.0000), H at (0.0000, 0.0000, 0.5000) and Pd at (0.0000, 0.5000, 0.5000).